CoOsRuF2 | Alexandria | PBE+U | relaxed; calculated volume = 78 Å³ per cell; N(E_F) = 4.12 states/eV/f.u.; energy = -0.2014 Ha/atom
1.0
-3.7840 0.0876 1.1361
0.7455 -4.0990 2.7991
0.9767 2.2790 3.0773
Co F Os Ru
1 2 1 1
Direct
0.5000 0.5000 0.5000
0.0000 0.0000 0.5000
0.5000 0.0000 0.0000
0.0000 0.0000 0.0000
0.0000 0.5000 0.0000